Entry 1:
A plane-wave DFT calculation with PBE was carried out for NaLaMg14 after structural relaxation.

The space group is P-6m2 (No. 187) and the conventional cell measures 6.6436, 6.6436 and 10.4442 Å, with angles of 90.00, 90.00 and 120.00 degrees. The inequivalent atoms are Na at (0.0000, 0.0000, 0.0000), La at (0.0000, 0.0000, 0.5000), Mg at (0.9997, 0.4999, 0.0000), Mg at (0.0142, 0.5071, 0.5000), Mg at (0.1706, 0.3411, 0.2466) and Mg at (0.6667, 0.3333, 0.2604).

The crystal system is hexagonal. The calculation puts the total energy at -28.20 eV per cell.

***

Entry 2:
A plane-wave DFT calculation with PBE was carried out for NaLaMg3 after structural relaxation.

The space group is Pm-3m (No. 221) and the conventional cell measures 5.298, 5.298 and 5.298 Å, with angles of 90.00, 90.00 and 90.00 degrees. The inequivalent atoms are Na at (0.000, 0.000, 0.000), La at (0.500, 0.500, 0.500) and Mg at (0.000, 0.000, 0.500).

The crystal system is cubic. The calculation puts the total energy at -9.18 eV per cell.

***

Entry 3:
A plane-wave DFT calculation with PBE was carried out for NaLa2Mg after structural relaxation.

The space group is P4/mmm (No. 123) and the conventional cell measures 5.763, 5.763 and 4.014 Å, with angles of 90.00, 90.00 and 90.00 degrees. The inequivalent atoms are Na at (0.000, 0.000, 0.000), La at (0.000, 0.500, 0.500) and Mg at (0.500, 0.500, 0.000).

The crystal system is tetragonal. The calculation puts the total energy at -12.32 eV per cell.

***

Entry 4:
A plane-wave DFT calculation with PBE was carried out for NaLaMg17 after structural relaxation.

The space group is R3m (No. 160, hexagonal axes) and the conventional cell measures 10.3850, 10.3850 and 15.3830 Å, with angles of 90.00, 90.00 and 120.00 degrees. The inequivalent atoms are Na at (0.0000, 0.0000, 0.0000), La at (0.0000, 0.0000, 0.3257), Mg at (0.0000, 0.0000, 0.5604), Mg at (0.0000, 0.0000, 0.7588), Mg at (0.0006, 0.3006, 0.6585), Mg at (0.0077, 0.5038, 0.8128), Mg at (0.0095, 0.5048, 0.1554) and Mg at (0.1671, 0.3342, 0.8415).

The crystal system is trigonal. The calculation puts the total energy at -100.51 eV per cell.

***

Entry 5:
A plane-wave DFT calculation with PBE was carried out for NaLaMg6 after structural relaxation.

The space group is Amm2 (No. 38) and the conventional cell measures 5.133, 7.806 and 10.856 Å, with angles of 90.00, 90.00 and 90.00 degrees. The inequivalent atoms are Na at (0.000, 0.000, 0.000), La at (0.000, 0.000, 0.429), Mg at (0.000, 0.198, 0.714), Mg at (0.500, 0.000, 0.196), Mg at (0.500, 0.000, 0.635) and Mg at (0.500, 0.211, 0.903).

The crystal system is orthorhombic. The calculation puts the total energy at -30.86 eV per cell.

***

Entry 6:
A plane-wave DFT calculation with PBE was carried out for NaLa2Mg after structural relaxation.

The space group is I-42d (No. 122) and the conventional cell measures 9.095, 9.095 and 6.480 Å, with angles of 90.00, 90.00 and 90.00 degrees. The inequivalent atoms are Na at (0.000, 0.000, 0.000), La at (0.247, 0.750, 0.125) and Mg at (0.000, 0.000, 0.500).

The crystal system is tetragonal. The calculation puts the total energy at -46.08 eV per cell.

***

Entry 7:
A plane-wave DFT calculation with PBE was carried out for NaLaMg2 after structural relaxation.

The space group is Fm-3m (No. 225) and the conventional cell measures 7.787, 7.787 and 7.787 Å, with angles of 90.00, 90.00 and 90.00 degrees. The inequivalent atoms are Na at (0.000, 0.000, 0.000), La at (0.000, 0.000, 0.500) and Mg at (0.250, 0.250, 0.250).

The crystal system is cubic. The calculation puts the total energy at -36.87 eV per cell.

***

Entry 8:
A plane-wave DFT calculation with PBE was carried out for Na2LaMg2 after structural relaxation.

The space group is P4/mbm (No. 127) and the conventional cell measures 9.497, 9.497 and 3.390 Å, with angles of 90.00, 90.00 and 90.00 degrees. The inequivalent atoms are Na at (0.172, 0.328, 0.000), La at (0.000, 0.000, 0.500) and Mg at (0.124, 0.624, 0.500).

The crystal system is tetragonal. The calculation puts the total energy at -19.49 eV per cell.

***

Entry 9:
A plane-wave DFT calculation with PBE was carried out for NaLaMg3 after structural relaxation.

The space group is Pm-3m (No. 221) and the conventional cell measures 6.234, 6.234 and 6.234 Å, with angles of 90.00, 90.00 and 90.00 degrees. The inequivalent atoms are Na at (0.000, 0.000, 0.000), La at (0.500, 0.500, 0.500) and Mg at (0.000, 0.500, 0.500).

The crystal system is cubic. The calculation puts the total energy at -6.85 eV per cell.

***

Entry 10:
A plane-wave DFT calculation with PBE was carried out for NaLaMg4 after structural relaxation.

The space group is F-43m (No. 216) and the conventional cell measures 8.754, 8.754 and 8.754 Å, with angles of 90.00, 90.00 and 90.00 degrees. The inequivalent atoms are Na at (0.000, 0.000, 0.000), La at (0.250, 0.250, 0.250) and Mg at (0.124, 0.124, 0.624).

The crystal system is cubic. The calculation puts the total energy at -50.30 eV per cell.

***

Entry 11:
A plane-wave DFT calculation with PBE was carried out for NaLaNdMg after structural relaxation.

The space group is F-43m (No. 216) and the conventional cell measures 8.036, 8.036 and 8.036 Å, with angles of 90.00, 90.00 and 90.00 degrees. The inequivalent atoms are Na at (0.000, 0.000, 0.000), La at (0.250, 0.250, 0.250), Nd at (0.250, 0.250, 0.750) and Mg at (0.000, 0.000, 0.500).

The crystal system is cubic. The calculation puts the total energy at -48.49 eV per cell.

***

Entry 12:
A plane-wave DFT calculation with PBE was carried out for NaLaMg2Ni after structural relaxation.

The space group is P4/mmm (No. 123) and the conventional cell measures 5.173, 5.173 and 5.104 Å, with angles of 90.00, 90.00 and 90.00 degrees. The inequivalent atoms are Na at (0.000, 0.000, 0.000), La at (0.500, 0.500, 0.000), Mg at (0.000, 0.500, 0.500) and Ni at (0.500, 0.500, 0.500).

The crystal system is tetragonal. The calculation puts the total energy at -15.67 eV per cell.